No. 1
Computed, not measured: a geometry-optimized Ho8SiTe4As3 structure at the PBE level of DFT.

## Properties
- N(E_F): 4.89 states/eV/cell
- Energy relative to the elements, uncorrected: -134 kJ/mol of atoms

Lattice parameters (Å, degrees): 8.3747 8.5413 8.3741 119.36 120.00 90.00
Atoms (fractional coordinates):
Ho 0.2368 0.7174 0.9808
Ho 0.2368 0.7173 0.4736
Ho 0.2607 0.2822 0.5215
Ho 0.7440 0.7174 0.9808
Ho 0.2560 0.2826 0.0192
Ho 0.7393 0.7178 0.4785
Ho 0.7632 0.2827 0.5264
Ho 0.7632 0.2826 0.0192
Si 0.0000 0.5000 0.0000
Te 0.5000 0.0000 0.0000
Te 0.5000 0.0000 0.5000
Te 0.0000 0.0000 0.0000
Te 0.0000 0.0000 0.5000
As 0.5000 0.5000 0.0000
As 0.5000 0.5000 0.5000
As 0.0000 0.5000 0.5000

No. 2
Computed, not measured: a geometry-optimized BaScPb4 structure at the PBE level of DFT.

## Properties
- N(E_F): 5.94 states/eV/cell
- Energy of formation: -89 meV per atom

Lattice parameters (Å, degrees): 6.5595 6.5595 6.5595 60.00 60.00 60.00
Atoms (fractional coordinates):
Ba 0.0000 0.0000 0.0000
Sc 0.7500 0.7500 0.7500
Pb 0.3758 0.8726 0.3758
Pb 0.8726 0.3758 0.3758
Pb 0.3758 0.3758 0.8726
Pb 0.3758 0.3758 0.3758

No. 3
Computed, not measured: a geometry-optimized HfInI2N structure at the PBE level of DFT.

## Properties
- N(E_F): 5.13 states/eV/cell
- Energy relative to the elements, uncorrected: 91 kJ/mol of atoms
- E above lowest polymorph: 1290.7 meV per atom

Lattice parameters (Å, degrees): 6.0450 6.0450 3.8487 90.00 90.00 90.00
Atoms (fractional coordinates):
I 0.0000 0.5000 0.0000
I 0.5000 0.0000 0.0000
N 0.0000 0.0000 0.5000
Hf 0.5000 0.5000 0.5000
In 0.0000 0.0000 0.0000

No. 4
Computed, not measured: a geometry-optimized HoTmGaCo structure at the PBE level of DFT.

## Properties
- N(E_F): 3.01 states/eV/cell
- E above lowest polymorph: 0.0 meV per atom
- Energy of formation: -404 meV per atom

Lattice parameters (Å, degrees): 3.8349 4.2147 5.5597 90.00 110.17 90.00
Atoms (fractional coordinates):
Ho 0.1428 0.0000 0.2856
Tm 0.8582 0.5000 0.7164
Ga 0.5653 0.5000 0.1305
Co 0.4338 0.0000 0.8675

No. 5
Computed, not measured: a geometry-optimized Pm8P3Se4O structure at the PBE level of DFT.

## Properties
- N(E_F): 7.92 states/eV/cell
- Energy relative to the elements, uncorrected: -179 kJ/mol of atoms

Lattice parameters (Å, degrees): 8.1142 8.3110 8.1149 119.23 120.00 90.00
Atoms (fractional coordinates):
Pm 0.2342 0.7202 0.9860
Pm 0.2346 0.7206 0.4692
Pm 0.2567 0.2702 0.5135
Pm 0.7518 0.7202 0.9860
Pm 0.2482 0.2798 0.0140
Pm 0.7433 0.7298 0.4865
Pm 0.7654 0.2794 0.5308
Pm 0.7658 0.2798 0.0140
P 0.5000 0.5000 0.0000
P 0.5000 0.5000 0.5000
P 0.0000 0.5000 0.5000
Se 0.5000 0.0000 0.0000
Se 0.5000 0.0000 0.5000
Se 0.0000 0.0000 0.0000
Se 0.0000 0.0000 0.5000
O 0.0000 0.5000 0.0000

No. 6
Computed, not measured: a geometry-optimized CaSiSb2 structure at the PBE level of DFT.

## Properties
- N(E_F): 2.59 states/eV/cell
- Energy relative to the elements, uncorrected: 1 kJ/mol of atoms

Lattice parameters (Å, degrees): 3.5273 3.5273 8.1381 90.00 90.00 90.00
Atoms (fractional coordinates):
Ca 0.5000 0.5000 0.7500
Sb 0.0000 0.0000 0.0306
Sb 0.0000 0.0000 0.4694
Si 0.5000 0.5000 0.2500

No. 7
Computed, not measured: a geometry-optimized Ho2InHg structure at the PBE level of DFT.

## Properties
- N(E_F): 3.23 states/eV/cell
- Energy of formation: -344 meV per atom

Lattice parameters (Å, degrees): 3.7016 3.7016 9.6472 78.94 78.94 60.00
Atoms (fractional coordinates):
In 0.5000 0.5000 0.5000
Hg 0.0000 0.0000 0.0000
Ho 0.2516 0.2516 0.2451
Ho 0.7484 0.7484 0.7549

No. 8
Computed, not measured: a geometry-optimized Ir2Rh structure at the PBE level of DFT.

## Properties
- N(E_F): 22.62 states/eV/cell
- E above lowest polymorph: 456.2 meV per atom
- Energy of formation: 439 meV per atom

Lattice parameters (Å, degrees): 5.1155 5.1155 8.3102 90.00 90.00 120.00
Atoms (fractional coordinates):
Ir 0.0000 0.0000 0.0000
Ir 0.0000 0.0000 0.5000
Ir 0.1711 0.3422 0.7500
Ir 0.1711 0.8289 0.7500
Ir 0.3422 0.1711 0.2500
Ir 0.6578 0.8289 0.7500
Ir 0.8289 0.1711 0.2500
Ir 0.8289 0.6578 0.2500
Rh 0.3333 0.6667 0.0830
Rh 0.3333 0.6667 0.4170
Rh 0.6667 0.3333 0.5830
Rh 0.6667 0.3333 0.9170

No. 9
Computed, not measured: a geometry-optimized CsHfTl2Br8 structure at the PBE level of DFT.

## Properties
- N(E_F): 1.40 states/eV/cell
- Energy relative to the elements, uncorrected: -115 kJ/mol of atoms

Lattice parameters (Å, degrees): 7.5763 6.1085 9.8924 72.22 90.52 90.86
Atoms (fractional coordinates):
Cs 0.0000 0.0000 0.5000
Hf 0.0000 0.0000 0.0000
Tl 0.5135 0.3197 0.8127
Tl 0.4865 0.6803 0.1873
Br 0.0118 0.6449 0.2313
Br 0.7489 0.8122 0.8863
Br 0.7583 0.1711 0.1253
Br 0.9882 0.3551 0.7687
Br 0.2511 0.1878 0.1137
Br 0.2417 0.8289 0.8747
Br 0.4997 0.7531 0.5022
Br 0.5003 0.2469 0.4978

No. 10
Computed, not measured: a geometry-optimized TbNd5Sm2Th structure at the PBE level of DFT.

## Properties
- N(E_F): 26.32 states/eV/cell
- Energy of formation: 150 meV per atom

Lattice parameters (Å, degrees): 5.7227 10.7309 10.6330 90.00 90.00 105.46
Atoms (fractional coordinates):
Tb 0.5945 0.1890 0.9576
Tb 0.4055 0.8110 0.4576
Nd 0.3856 0.7712 0.0250
Nd 0.7244 0.4488 0.8142
Nd 0.4816 0.9632 0.7443
Nd 0.2936 0.5873 0.7045
Nd 0.9854 0.9708 0.5183
Nd 0.6144 0.2288 0.5250
Nd 0.2756 0.5512 0.3142
Nd 0.5184 0.0368 0.2443
Nd 0.7064 0.4127 0.2045
Nd 0.0146 0.0292 0.0183
Sm 0.8845 0.7689 0.8139
Sm 0.1142 0.2285 0.7343
Sm 0.1155 0.2311 0.3139
Sm 0.8858 0.7715 0.2343
Th 0.8016 0.6032 0.5119
Th 0.1984 0.3968 0.0119

No. 11
Computed, not measured: a geometry-optimized TiTl3Ir structure at the PBE level of DFT.

## Properties
- N(E_F): 14.71 states/eV/cell
- E above lowest polymorph: 0.0 meV per atom
- Energy of formation: 835 meV per atom

Lattice parameters (Å, degrees): 5.2278 5.2278 5.2278 90.00 90.00 90.00
Atoms (fractional coordinates):
Tl 0.0000 0.5000 0.0000
Tl 0.0000 0.0000 0.5000
Tl 0.5000 0.0000 0.0000
Ir 0.0000 0.0000 0.0000
Ti 0.5000 0.5000 0.5000

No. 12
Computed, not measured: a geometry-optimized Sm3GaCoSe7 structure at the PBE level of DFT.

## Properties
- N(E_F): 4.71 states/eV/cell
- Energy relative to the elements, uncorrected: -125 kJ/mol of atoms

Lattice parameters (Å, degrees): 10.1072 10.1072 6.5573 90.00 90.00 120.00
Atoms (fractional coordinates):
Sm 0.7896 0.6262 0.1733
Sm 0.3738 0.1634 0.1733
Sm 0.8366 0.2104 0.1733
Sm 0.2104 0.3738 0.6733
Sm 0.6262 0.8366 0.6733
Sm 0.1634 0.7896 0.6733
Ga 0.3333 0.6667 0.0932
Ga 0.6667 0.3333 0.5932
Co 0.0000 0.0000 0.5158
Co 0.0000 0.0000 0.0158
Se 0.9187 0.4773 0.4457
Se 0.5227 0.4414 0.4457
Se 0.5586 0.0813 0.4457
Se 0.0813 0.5227 0.9457
Se 0.4773 0.5586 0.9457
Se 0.4414 0.9187 0.9457
Se 0.3333 0.6667 0.4606
Se 0.6667 0.3333 0.9606
Se 0.7769 0.9006 0.2695
Se 0.0994 0.8763 0.2695
Se 0.1237 0.2231 0.2695
Se 0.2231 0.0994 0.7695
Se 0.9006 0.1237 0.7695
Se 0.8763 0.7769 0.7695

| no. | electronic total energy (eV per atom) |
| --- | --- |
| 1 | -5.678 |
| 2 | -3.937 |
| 3 | -3.875 |
| 4 | -5.200 |
| 5 | -6.430 |
| 6 | -3.904 |
| 7 | -3.393 |
| 8 | -7.918 |
| 9 | -3.601 |
| 10 | -4.886 |
| 11 | -3.936 |
| 12 | -5.356 |